Run P
VASP calculation (PBE) on a geometry-optimized ScBeP3 structure.

Computed properties:
symmetry	No. 221
DOS at the Fermi energy	0.5863	states/eV/atom

a b c (Å): 4.8725 4.8725 4.8725
angles (deg): 90.00 90.00 90.00
Sites, in units of the cell vectors:
Sc  0.0000  0.0000  0.0000
Be  0.5000  0.5000  0.5000
P  0.0000  0.0000  0.5000
P  0.0000  0.5000  0.0000
P  0.5000  0.0000  0.0000

---

Run Q
VASP calculation (PBE) on a geometry-optimized ScBeP3 structure.

Computed properties:
symmetry	No. 221
DOS at the Fermi energy	0.7068	states/eV/atom

a b c (Å): 4.3138 4.3138 4.3138
angles (deg): 90.00 90.00 90.00
Sites, in units of the cell vectors:
Sc  0.0000  0.0000  0.0000
Be  0.5000  0.5000  0.5000
P  0.0000  0.5000  0.5000
P  0.5000  0.0000  0.5000
P  0.5000  0.5000  0.0000

---

Which structure wins on stability? run Q wins.

---

Run P
VASP calculation (PBE) on a geometry-optimized BePSe2 structure.

Computed properties:
symmetry	No. 12
DOS at the Fermi energy	0.4694	states/eV/atom

a b c (Å): 4.8052 4.8052 4.8367
angles (deg): 113.91 113.91 89.95
Sites, in units of the cell vectors:
Be  0.0000  0.0000  0.0000
P  0.5000  0.5000  0.0000
Se  0.0000  0.5000  0.0000
Se  0.5000  0.0000  0.0000

---

Run Q
VASP calculation (PBE) on a geometry-optimized BePSe2 structure.

Computed properties:
symmetry	No. 47
DOS at the Fermi energy	0.5172	states/eV/atom

a b c (Å): 3.4128 3.4190 8.6540
angles (deg): 90.00 90.00 90.00
Sites, in units of the cell vectors:
Be  0.0000  0.0000  0.0000
P  0.5000  0.0000  0.5000
Se  0.0000  0.5000  0.5000
Se  0.5000  0.5000  0.0000

---

Which structure wins on stability? run P wins.

---

Run P
VASP calculation (PBE) on a geometry-optimized BePSe2 structure.

Computed properties:
symmetry	No. 123
DOS at the Fermi energy	0.6242	states/eV/atom

a b c (Å): 3.1739 3.1739 6.4345
angles (deg): 90.00 90.00 90.00
Sites, in units of the cell vectors:
Be  0.0000  0.0000  0.0000
P  0.0000  0.0000  0.5000
Se  0.5000  0.5000  0.2316
Se  0.5000  0.5000  0.7684

---

Run Q
VASP calculation (PBE) on a geometry-optimized BePSe2 structure.

Computed properties:
symmetry	No. 8
DOS at the Fermi energy	0.3121	states/eV/atom

a b c (Å): 7.3610 7.3610 4.1425
angles (deg): 106.11 106.11 25.56
Sites, in units of the cell vectors:
Be  0.0000  0.0000  0.0000
P  0.5348  0.5348  0.4379
Se  0.1395  0.1395  0.8504
Se  0.4068  0.4068  0.6647

---

Which structure wins on stability? run Q wins.